KDySiSe3 | the Open Quantum Materials Database | PBE-GGA | optimized geometry; total energy = -4.60 eV/atom; crystal system = orthorhombic; SG = Cmcm (63)
1.0
-2.949 1.210 -6.556
-1.118 -3.351 6.377
-4.974 9.123 3.922
Dy K Se Si
2 2 6 2
Direct
0.500 0.500 0.000
0.500 0.500 0.500
0.243 0.757 0.250
0.757 0.243 0.750
0.874 0.126 0.064
0.551 0.449 0.250
0.874 0.126 0.436
0.126 0.874 0.564
0.449 0.551 0.750
0.126 0.874 0.936
0.975 0.025 0.250
0.025 0.975 0.750

---

TaTlO3 | the Open Quantum Materials Database | PBE-GGA | optimized geometry; total energy = -8.08 eV/atom; crystal system = trigonal; SG = P-31c (163)
1.0
-2.355 0.819 -4.766
-2.732 -2.378 3.976
-4.355 12.068 4.226
O Ta Tl
12 4 4
Direct
0.333 0.061 0.167
0.939 0.272 0.167
0.728 0.667 0.167
0.728 0.061 0.333
0.333 0.272 0.333
0.939 0.667 0.333
0.061 0.333 0.667
0.667 0.728 0.667
0.272 0.939 0.667
0.272 0.333 0.833
0.061 0.728 0.833
0.667 0.939 0.833
0.000 0.000 0.250
0.667 0.333 0.250
0.000 0.000 0.750
0.333 0.667 0.750
0.333 0.667 0.058
0.333 0.667 0.442
0.667 0.333 0.558
0.667 0.333 0.942

---

NdScSi4Ni2 | the Open Quantum Materials Database | PBE-GGA | optimized geometry; total energy = -6.25 eV/atom; crystal system = orthorhombic; SG = Amm2 (38)
1.0
-2.939 2.352 -1.251
-4.071 -1.240 7.236
-1.807 1.972 7.957
Nd Ni Sc Si
1 2 1 4
Direct
0.000 0.396 0.396
0.000 0.177 0.177
0.500 0.821 0.821
0.500 0.606 0.606
0.000 0.043 0.043
0.500 0.247 0.247
0.000 0.746 0.746
0.500 0.964 0.964

---

ErAgTe2PbSe | the Open Quantum Materials Database | PBE-GGA | optimized geometry; total energy = -4.26 eV/atom; crystal system = orthorhombic; SG = Cmcm (63)
1.0
2.142 -7.360 0.000
2.142 7.360 0.000
0.000 0.000 10.622
Ag Er Pb Se Te
2 2 2 2 4
Direct
0.527 0.473 0.250
0.473 0.527 0.750
0.000 0.000 0.000
0.000 0.000 0.500
0.254 0.746 0.250
0.746 0.254 0.750
0.918 0.082 0.250
0.082 0.918 0.750
0.648 0.352 0.050
0.648 0.352 0.450
0.352 0.648 0.550
0.352 0.648 0.950